Entry 1:
The following is a PBE calculation of a relaxed LaHoTlNi2 crystal, from the Open Quantum Materials Database.

abc: 3.740 7.642 7.642
angles: 30.12 90.00 90.00
Sites, in units of the cell vectors:
Tl: 0.500 0.994 0.994
Ni: 0.500 0.205 0.205
Ho: 0.000 0.360 0.360
Ni: 0.500 0.802 0.802
La: 0.000 0.638 0.638

Calculated values
As for the space-group type: Amm2, No. 38. The value obtained for the size of the total moment is 0.0 μB per formula unit.


Entry 2:
The following is a PBE calculation of a relaxed LaHoO3 crystal, from the Open Quantum Materials Database.

abc: 6.057 8.460 5.851
angles: 90.00 90.00 90.00
Sites, in units of the cell vectors:
La: 0.950 0.750 0.485
O: 0.193 0.931 0.309
O: 0.058 0.750 0.871
O: 0.442 0.250 0.371
O: 0.807 0.069 0.691
O: 0.193 0.569 0.309
O: 0.693 0.569 0.191
O: 0.558 0.750 0.629
O: 0.942 0.250 0.129
O: 0.307 0.431 0.809
La: 0.550 0.250 0.985
Ho: 0.000 0.500 0.000
O: 0.807 0.431 0.691
O: 0.307 0.069 0.809
Ho: 0.000 0.000 0.000
La: 0.050 0.250 0.515
Ho: 0.500 0.500 0.500
O: 0.693 0.931 0.191
La: 0.450 0.750 0.015
Ho: 0.500 0.000 0.500

Calculated values
As for the space-group type: Pnma, No. 62. The value obtained for the size of the total moment is 0.0 μB per formula unit.


Entry 3:
The following is a PBE calculation of a relaxed LaHoO3 crystal, from the Open Quantum Materials Database.

abc: 4.094 4.094 4.841
angles: 90.00 90.00 90.00
Sites, in units of the cell vectors:
La: 0.000 0.000 0.939
O: 0.500 0.000 0.672
Ho: 0.500 0.500 0.527
O: 0.500 0.500 0.090
O: 0.000 0.500 0.672

Calculated values
As for the space-group type: P4mm, No. 99. The value obtained for the size of the total moment is 0.0 μB per formula unit.


no.,E_tot (eV per atom)
1,-5.04
2,-8.38
3,-8.19